Here is ZrAlIn2B after structural relaxation from Alexandria via LeMat-Bulk. Energies are from PBE.

Summary:
Formation energy from the elements   0.796 eV/atom
SG   No. 123

Lattice parameters (Å, degrees): 5.385 3.847 5.385 90.00 90.00 90.00
Fractional positions:
B  0.000  0.500  0.000
Al  0.000  0.000  0.000
Zr  0.500  0.500  0.500
In  0.000  0.000  0.500
In  0.500  0.000  0.000